DFT (PBE) results for TlIr2Au after structural relaxation.

Formation energy (eV/atom): 0.577
E above lowest polymorph (meV per atom): 192

Unit cell a=4.6873 b=4.6873 c=3.1356 alpha=90.00 beta=90.00 gamma=90.00
Last column: nearest neighbours and their distance in Å.
Space group P4/mmm (No. 123)
Asymmetric unit:
Tl: 0.0000 0.0000 0.0000 [1 per cell]  8 Ir 2.82, 2 Tl 3.14
Ir: 0.0000 0.5000 0.5000 [2 per cell]  4 Au 2.82, 4 Tl 2.82, 2 Ir 3.14
Au: 0.5000 0.5000 0.0000 [1 per cell]  8 Ir 2.82, 2 Au 3.14